VASP calculation (SCAN) on a crystal of KTe relaxed with PBEsol.

a = 4.6660 Å, b = 4.6660 Å, c = 6.9245 Å
α = 90.00°, β = 90.00°, γ = 90.00°
Closest atoms and distances in Å follow each position.
Sites, in units of the cell vectors:
1 Te 0.0000 0.5000 0.6460  5 K 3.26-3.53
2 Te 0.5000 0.0000 0.3540  5 K 3.26-3.53
3 K 0.0000 0.5000 0.1748  5 Te 3.26-3.53
4 K 0.5000 0.0000 0.8252  5 Te 3.26-3.53

## Properties
As for the volume: 37.7 A^3/atom. Its magnetic moment is 2.009 Bohr magnetons per cell. The energy relative to the elements, uncorrected comes out at -0.53 eV per atom.


VASP calculation (SCAN) on a crystal of KTe relaxed with PBEsol.

a = 5.5525 Å, b = 5.5525 Å, c = 11.9453 Å
α = 90.00°, β = 90.00°, γ = 120.00°
Closest atoms and distances in Å follow each position.
Sites, in units of the cell vectors:
1 Te 0.3333 0.6667 0.1323  1 Te 2.81
2 Te 0.6667 0.3333 0.6323  1 Te 2.81
3 Te 0.6667 0.3333 0.8677  1 Te 2.81
4 Te 0.3333 0.6667 0.3677  1 Te 2.81
5 K 0.0000 0.0000 0.0000  6 Te 3.57
6 K 0.3333 0.6667 0.7500  6 Te 3.50
7 K 0.6667 0.3333 0.2500  6 Te 3.50
8 K 0.0000 0.0000 0.5000  6 Te 3.57

## Properties
As for the volume: 39.9 A^3/atom. Its magnetic moment is 0.000 Bohr magnetons per cell. The energy relative to the elements, uncorrected comes out at -0.98 eV per atom.


VASP calculation (SCAN) on a crystal of KTe relaxed with PBEsol.

a = 3.9718 Å, b = 5.6236 Å, c = 7.0952 Å
α = 113.35°, β = 106.25°, γ = 90.00°
Closest atoms and distances in Å follow each position.
Sites, in units of the cell vectors:
1 K 0.3933 0.6433 0.7867  6 Te 3.48-3.73, 2 K 3.86
2 K 0.6067 0.3567 0.2133  6 Te 3.48-3.73, 2 K 3.86
3 Te 0.1480 0.8980 0.2960  2 Te 3.22, 4 K 3.48
4 Te 0.8520 0.1020 0.7040  2 Te 3.22, 4 K 3.48

## Properties
As for the volume: 34.6 A^3/atom. Its magnetic moment is 0.000 Bohr magnetons per cell. The energy relative to the elements, uncorrected comes out at -0.73 eV per atom.


VASP calculation (SCAN) on a crystal of K4Te3 relaxed with PBEsol.

a = 6.1082 Å, b = 6.9593 Å, c = 6.9593 Å
α = 120.00°, β = 90.00°, γ = 90.00°
Closest atoms and distances in Å follow each position.
Sites, in units of the cell vectors:
1 K 0.2310 0.0000 0.0000  1 K 2.82
2 K 0.7690 0.0000 0.0000  1 K 2.82
3 K 0.5000 0.3333 0.6667  6 Te 3.66, 3 K 4.02
4 K 0.5000 0.6667 0.3333  6 Te 3.66, 3 K 4.02
5 Te 0.0000 0.5000 0.5000  4 Te 3.48, 8 K 3.66-3.75
6 Te 0.0000 0.0000 0.5000  4 Te 3.48, 8 K 3.66-3.75
7 Te 0.0000 0.5000 0.0000  4 Te 3.48, 8 K 3.66-3.75

## Properties
As for the volume: 36.6 A^3/atom. Its magnetic moment is 0.000 Bohr magnetons per cell. The energy relative to the elements, uncorrected comes out at -0.60 eV per atom.


VASP calculation (SCAN) on a crystal of KTe2 relaxed with PBEsol.

a = 5.2273 Å, b = 5.2273 Å, c = 9.3503 Å
α = 90.00°, β = 90.00°, γ = 120.00°
Closest atoms and distances in Å follow each position.
Sites, in units of the cell vectors:
1 K 0.0000 0.0000 0.7500  12 Te 3.71-3.93
2 K 0.0000 0.0000 0.2500  12 Te 3.71-3.93
3 Te 0.3333 0.6667 0.9808  3 Te 3.04
4 Te 0.6667 0.3333 0.4808  3 Te 3.04
5 Te 0.3333 0.6667 0.5192  3 Te 3.04
6 Te 0.6667 0.3333 0.0192  3 Te 3.04

## Properties
As for the volume: 36.9 A^3/atom. Its magnetic moment is 0.000 Bohr magnetons per cell. The offset from the most stable computed form is 180 meV/atom. The energy relative to the elements, uncorrected comes out at -0.48 eV per atom.


VASP calculation (SCAN) on a crystal of KTe5 relaxed with PBEsol.

a = 4.0637 Å, b = 4.2759 Å, c = 12.0246 Å
α = 100.24°, β = 90.00°, γ = 90.00°
Closest atoms and distances in Å follow each position.
Sites, in units of the cell vectors:
1 Te 0.5000 0.8711 0.7423  4 Te 3.01
2 Te 0.5000 0.5713 0.1426  2 Te 3.03
3 Te 0.5000 0.2175 0.4351  4 Te 3.19
4 Te 0.0000 0.6662 0.3323  6 Te 3.03-3.19
5 Te 0.0000 0.3458 0.6916  4 Te 3.01
6 K 0.0000 0.9947 0.9894  6 Te 3.46-3.56

## Properties
As for the volume: 34.3 A^3/atom. Its magnetic moment is 0.000 Bohr magnetons per cell. The energy relative to the elements, uncorrected comes out at -0.15 eV per atom.


VASP calculation (SCAN) on a crystal of KTe2 relaxed with PBEsol.

a = 6.2477 Å, b = 7.0322 Å, c = 6.2477 Å
α = 63.63°, β = 90.00°, γ = 116.37°
Closest atoms and distances in Å follow each position.
Sites, in units of the cell vectors:
1 K 0.7500 0.5000 0.2500  8 Te 3.59
2 K 0.2500 0.5000 0.7500  8 Te 3.59
3 Te 0.3316 0.0000 0.1684  5 Te 2.98-3.29
4 Te 0.1684 0.0000 0.6684  5 Te 2.98-3.29
5 Te 0.6684 0.0000 0.8316  5 Te 2.98-3.29
6 Te 0.8316 0.0000 0.3316  5 Te 2.98-3.29

## Properties
As for the volume: 35.6 A^3/atom. Its magnetic moment is 0.000 Bohr magnetons per cell. The offset from the most stable computed form is 0 meV/atom. The energy relative to the elements, uncorrected comes out at -0.66 eV per atom.


VASP calculation (SCAN) on a crystal of KTe relaxed with PBEsol.

a = 3.8763 Å, b = 3.8763 Å, c = 10.5417 Å
α = 90.00°, β = 90.00°, γ = 120.00°
Closest atoms and distances in Å follow each position.
Sites, in units of the cell vectors:
1 K 0.0000 0.0000 0.5000  6 Te 3.46
2 K 0.0000 0.0000 0.0000  6 Te 3.46
3 Te 0.3333 0.6667 0.2500  6 K 3.46
4 Te 0.6667 0.3333 0.7500  6 K 3.46

## Properties
As for the volume: 34.3 A^3/atom. Its magnetic moment is 0.004 Bohr magnetons per cell. The energy relative to the elements, uncorrected comes out at -0.63 eV per atom.